Entry 1:
VASP calculation (PBE) on a geometry-optimized NbOsO2 structure.

a = 2.7875 Å, b = 2.7875 Å, c = 20.6324 Å
α = 90.00°, β = 90.00°, γ = 120.00°
Last column: nearest neighbours and their distance in Å.
Space group R-3m (No. 166, hexagonal axes)
Asymmetric unit:
Nb 0.0000 0.0000 0.0000 (multiplicity 3)  6 O 2.16
Os 0.0000 0.0000 0.5000 (multiplicity 3)  2 O 2.00
O 0.0000 0.0000 0.4031 (multiplicity 6)  1 Os 2.00, 3 Nb 2.16

Properties
The crystal system is trigonal. For the relative energy among the computed polymorphs, the calculation gives 0 meV/atom.

=====

Entry 2:
VASP calculation (PBE) on a geometry-optimized NbOsO2 structure.

a = 5.6401 Å, b = 5.6401 Å, c = 5.6401 Å
α = 90.00°, β = 90.00°, γ = 90.00°
Last column: nearest neighbours and their distance in Å.
Space group Fm-3m (No. 225)
Asymmetric unit:
Nb 0.0000 0.0000 0.0000 (multiplicity 4)  8 O 2.44
Os 0.0000 0.0000 0.5000 (multiplicity 4)  8 O 2.44
O 0.2500 0.2500 0.2500 (multiplicity 8)  4 Nb 2.44, 4 Os 2.44

Properties
The crystal system is cubic. For the relative energy among the computed polymorphs, the calculation gives 1213 meV/atom.

=====

Entry 3:
VASP calculation (PBE) on a geometry-optimized NbPOsO2 structure.

a = 3.7113 Å, b = 3.7113 Å, c = 5.3550 Å
α = 90.00°, β = 90.00°, γ = 90.00°
Last column: nearest neighbours and their distance in Å.
Space group P4/mmm (No. 123)
Asymmetric unit:
Nb 0.0000 0.0000 0.0000 (multiplicity 1)  4 P 2.62
P 0.5000 0.5000 0.0000 (multiplicity 1)  4 Nb 2.62, 2 Os 2.68
Os 0.5000 0.5000 0.5000 (multiplicity 1)  4 O 1.86
O 0.0000 0.5000 0.5000 (multiplicity 2)  2 Os 1.86

Properties
The crystal system is tetragonal. For the relative energy among the computed polymorphs, the calculation gives 226 meV/atom.

=====

Entry 4:
VASP calculation (PBE) on a geometry-optimized NbPOsO2 structure.

a = 3.8138 Å, b = 3.8138 Å, c = 5.5393 Å
α = 90.00°, β = 90.00°, γ = 90.00°
Last column: nearest neighbours and their distance in Å.
Space group P4/mmm (No. 123)
Asymmetric unit:
Nb 0.0000 0.0000 0.0000 (multiplicity 1)  4 O 1.91
P 0.0000 0.0000 0.5000 (multiplicity 1)  4 Os 2.70, 2 Nb 2.77
Os 0.5000 0.5000 0.5000 (multiplicity 1)  4 P 2.70
O 0.0000 0.5000 0.0000 (multiplicity 2)  2 Nb 1.91

Properties
The crystal system is tetragonal. For the relative energy among the computed polymorphs, the calculation gives 0 meV/atom.

=====

Entry 5:
VASP calculation (PBE) on a geometry-optimized NbP2OsO structure.

a = 4.7994 Å, b = 4.7994 Å, c = 3.6067 Å
α = 90.00°, β = 90.00°, γ = 90.00°
Last column: nearest neighbours and their distance in Å.
Space group P4/mmm (No. 123)
Asymmetric unit:
Nb 0.0000 0.0000 0.0000 (multiplicity 1)  8 P 3.00
P 0.0000 0.5000 0.5000 (multiplicity 2)  2 Os 2.40
Os 0.5000 0.5000 0.5000 (multiplicity 1)  2 O 1.80
O 0.5000 0.5000 0.0000 (multiplicity 1)  2 Os 1.80

Properties
The crystal system is tetragonal. For the relative energy among the computed polymorphs, the calculation gives 0 meV/atom.

=====

Entry 6:
VASP calculation (PBE) on a geometry-optimized NbP2OsO structure.

a = 4.9009 Å, b = 4.9009 Å, c = 3.7696 Å
α = 90.00°, β = 90.00°, γ = 90.00°
Last column: nearest neighbours and their distance in Å.
Space group P4/mmm (No. 123)
Asymmetric unit:
Nb 0.0000 0.0000 0.0000 (multiplicity 1)  2 O 1.88
P 0.0000 0.5000 0.0000 (multiplicity 2)  2 Nb 2.45
Os 0.5000 0.5000 0.5000 (multiplicity 1)  8 P 3.09
O 0.0000 0.0000 0.5000 (multiplicity 1)  2 Nb 1.88

Properties
The crystal system is tetragonal. For the relative energy among the computed polymorphs, the calculation gives 226 meV/atom.

=====

Entry 7:
VASP calculation (PBE) on a geometry-optimized NbOsPbO6 structure.

a = 7.1767 Å, b = 7.4892 Å, c = 10.5928 Å
α = 90.00°, β = 90.00°, γ = 90.00°
Last column: nearest neighbours and their distance in Å.
Space group Imma (No. 74)
Asymmetric unit:
Nb 0.0000 0.0000 0.0000 (multiplicity 4)  6 O 2.01
Os 0.2500 0.2500 0.2500 (multiplicity 4)  6 O 1.85-1.97
Pb 0.0000 0.2500 0.7160 (multiplicity 4)  1 O 2.29
O 0.0000 0.2500 0.2935 (multiplicity 4)  2 Os 1.85
O 0.0000 0.2500 0.9319 (multiplicity 4)  2 Nb 2.01
O 0.1976 0.0577 0.1275 (multiplicity 16)  1 Os 1.97, 1 Nb 2.01

Properties
Its total energy is -68.16 eV/f.u. The crystal system is orthorhombic.

=====

Entry 8:
VASP calculation (PBE) on a geometry-optimized NbOsPbO2 structure.

a = 4.0288 Å, b = 4.0288 Å, c = 5.5783 Å
α = 90.00°, β = 90.00°, γ = 90.00°
Last column: nearest neighbours and their distance in Å.
Space group P4/mmm (No. 123)
Asymmetric unit:
Nb 0.0000 0.0000 0.0000 (multiplicity 1)  4 Os 2.85
Os 0.5000 0.5000 0.0000 (multiplicity 1)  2 Pb 2.79, 4 Nb 2.85
Pb 0.5000 0.5000 0.5000 (multiplicity 1)  4 O 2.01
O 0.0000 0.5000 0.5000 (multiplicity 2)  2 Pb 2.01

Properties
Its total energy is -30.61 eV/f.u. The crystal system is tetragonal.

=====

Entry 9:
VASP calculation (PBE) on a geometry-optimized Rb2NbOsO6 structure.

a = 8.0669 Å, b = 8.0669 Å, c = 8.0669 Å
α = 90.00°, β = 90.00°, γ = 90.00°
Last column: nearest neighbours and their distance in Å.
Space group Fm-3m (No. 225)
Asymmetric unit:
Rb 0.2500 0.2500 0.2500 (multiplicity 8)  12 O 2.85
Nb 0.0000 0.0000 0.0000 (multiplicity 4)  6 O 2.05
Os 0.0000 0.0000 0.5000 (multiplicity 4)  6 O 1.98
O 0.0000 0.0000 0.2542 (multiplicity 24)  1 Os 1.98, 1 Nb 2.05

Properties
Its total energy is -70.49 eV/f.u. The crystal system is cubic.

=====

Entry 10:
VASP calculation (PBE) on a geometry-optimized RbNbOsO6 structure.

a = 7.2712 Å, b = 7.4788 Å, c = 10.4577 Å
α = 90.00°, β = 90.00°, γ = 90.00°
Last column: nearest neighbours and their distance in Å.
Space group Imma (No. 74)
Asymmetric unit:
Rb 0.0000 0.2500 0.1173 (multiplicity 4)  10 O 3.22-3.59
Nb 0.0000 0.0000 0.5000 (multiplicity 4)  6 O 1.99-2.02
Os 0.2500 0.2500 0.7500 (multiplicity 4)  6 O 1.88-1.93
O 0.0000 0.2500 0.4344 (multiplicity 4)  2 Nb 1.99
O 0.0000 0.2500 0.7954 (multiplicity 4)  2 Os 1.88
O 0.2014 0.0687 0.6233 (multiplicity 16)  1 Os 1.93, 1 Nb 2.02

Properties
Its total energy is -67.90 eV/f.u. The crystal system is orthorhombic.

=====

Entry 11:
VASP calculation (PBE) on a geometry-optimized NbOs2RuO structure.

a = 4.0504 Å, b = 4.0504 Å, c = 4.1967 Å
α = 90.00°, β = 90.00°, γ = 90.00°
Last column: nearest neighbours and their distance in Å.
Space group P4/mmm (No. 123)
Asymmetric unit:
Nb 0.0000 0.0000 0.0000 (multiplicity 1)  2 O 2.10
Os 0.0000 0.5000 0.5000 (multiplicity 2)  2 O 2.03
Ru 0.5000 0.5000 0.0000 (multiplicity 1)  4 Nb 2.86, 8 Os 2.92
O 0.0000 0.0000 0.5000 (multiplicity 1)  4 Os 2.03, 2 Nb 2.10

Properties
Its total energy is -45.93 eV/f.u. The crystal system is tetragonal.

=====

Entry 12:
VASP calculation (PBE) on a geometry-optimized NbOsRu2O structure.

a = 4.6588 Å, b = 4.6588 Å, c = 4.8860 Å
α = 90.00°, β = 90.00°, γ = 90.00°
Last column: nearest neighbours and their distance in Å.
Space group P4/mmm (No. 123)
Asymmetric unit:
Nb 0.0000 0.0000 0.0000 (multiplicity 1)  2 Os 2.44
Os 0.0000 0.0000 0.5000 (multiplicity 1)  4 Ru 2.33, 2 Nb 2.44
Ru 0.0000 0.5000 0.5000 (multiplicity 2)  2 Os 2.33
O 0.5000 0.5000 0.0000 (multiplicity 1)  4 Nb 3.29, 8 Ru 3.38

Properties
Its total energy is -35.26 eV/f.u. The crystal system is tetragonal.

=====

- Number 3 is which compound?
  NbPOsO2